{
  "formula": "LiZnAg2",
  "functional": "GGA-PBEsol",
  "state": "optimized geometry",
  "lattice": [[6.263, 0.000, 0.000], [0.000, 6.263, 0.000], [0.000, 0.000, 6.263]],
  "species": ["Li", "Li", "Li", "Li", "Zn", "Zn", "Zn", "Zn", "Ag", "Ag", "Ag", "Ag", "Ag", "Ag", "Ag", "Ag"],
  "fractional_positions": [[0.000, 0.000, 0.000], [0.000, 0.500, 0.500], [0.500, 0.000, 0.500], [0.500, 0.500, 0.000], [0.250, 0.250, 0.250], [0.250, 0.750, 0.750], [0.750, 0.250, 0.750], [0.750, 0.750, 0.250], [0.000, 0.000, 0.500], [0.000, 0.500, 0.000], [0.250, 0.250, 0.750], [0.250, 0.750, 0.250], [0.500, 0.000, 0.000], [0.500, 0.500, 0.500], [0.750, 0.250, 0.250], [0.750, 0.750, 0.750]],
  "m_tot_mub_per_cell": 0.00,
  "volume_a3_per_atom": 15.36,
  "mass_density_g_cm3": 7.79,
  "total_energy_ev_per_atom": -2.68
}